(i)
Ca2BeHg | PBE-GGA | relaxed

a = 5.2009 Å, b = 5.2009 Å, c = 5.2009 Å
α = 60.00°, β = 60.00°, γ = 60.00°
Last column: nearest neighbours and their distance in Å.
Atoms (fractional coordinates):
Be (0.0000, 0.0000, 0.0000)  8 Ca 3.18
Ca (0.2500, 0.2500, 0.2500)  4 Hg 3.18, 4 Be 3.18
Ca (0.7500, 0.7500, 0.7500)  4 Hg 3.18, 4 Be 3.18
Hg (0.5000, 0.5000, 0.5000)  8 Ca 3.18

Properties
- Symmetry: Fm-3m, No. 225
- Fermi-level density of states: 2.39 states/eV per cell
- Total magnetic moment: 0.000 μB per atom

=====

(ii)
Ca2BeHg | PBE-GGA | relaxed

a = 8.1091 Å, b = 8.1091 Å, c = 6.7074 Å
α = 52.81°, β = 52.81°, γ = 90.00°
Last column: nearest neighbours and their distance in Å.
Atoms (fractional coordinates):
Be (0.5000, 0.5000, 0.0000)  4 Ca 2.87
Be (0.2500, 0.7500, 0.5000)  4 Ca 2.87
Ca (0.6006, 0.1250, 0.2500)  2 Be 2.87, 2 Hg 3.13
Ca (0.1494, 0.6250, 0.2500)  2 Be 2.87, 2 Hg 3.13
Ca (0.3750, 0.3994, 0.7500)  2 Be 2.87, 2 Hg 3.13
Ca (0.8750, 0.8506, 0.7500)  2 Be 2.87, 2 Hg 3.13
Hg (0.0000, 0.0000, 0.0000)  4 Ca 3.13, 2 Be 3.48
Hg (0.7500, 0.2500, 0.5000)  4 Ca 3.13, 2 Be 3.48

Properties
- Symmetry: I-42d, No. 122
- Fermi-level density of states: 5.17 states/eV per cell
- Total magnetic moment: 0.000 μB per atom

=====

The energy of each structure relative to the most stable one, in meV per atom, is as follows: (i) 0; (ii) 312.

=====

(i)
CaBeHg | PBE-GGA | relaxed

a = 4.3739 Å, b = 4.3739 Å, c = 3.9469 Å
α = 90.00°, β = 90.00°, γ = 120.00°
Last column: nearest neighbours and their distance in Å.
Atoms (fractional coordinates):
Be (0.0000, 0.0000, 0.8340)  3 Hg 2.53
Ca (0.6667, 0.3333, 0.3330)  6 Be 3.20-3.21, 6 Hg 3.20-3.21
Hg (0.3333, 0.6667, 0.8330)  3 Be 2.53

Properties
- Symmetry: P-6m2, No. 187
- Fermi-level density of states: 1.42 states/eV per cell
- Total magnetic moment: 0.000 μB per atom

=====

(ii)
CaBeHg | PBE-GGA | relaxed

a = 5.8278 Å, b = 5.8276 Å, c = 3.4528 Å
α = 72.77°, β = 72.77°, γ = 34.46°
Last column: nearest neighbours and their distance in Å.
Atoms (fractional coordinates):
Be (0.0322, 0.0322, 0.9678)  4 Hg 2.65-2.66
Ca (0.3371, 0.3371, 0.6629)  5 Hg 3.11-3.28, 5 Be 3.20-3.23, 4 Ca 3.45
Hg (0.6307, 0.6307, 0.3693)  4 Be 2.65-2.66

Properties
- Symmetry: I4mm, No. 107
- Fermi-level density of states: 1.34 states/eV per cell
- Total magnetic moment: 0.000 μB per atom

=====

The energy of each structure relative to the most stable one, in meV per atom, is as follows: (i) 0; (ii) 174.

=====

(i)
CaBe3I | PBE-GGA | relaxed

a = 4.9044 Å, b = 4.9044 Å, c = 4.9044 Å
α = 90.00°, β = 90.00°, γ = 90.00°
Last column: nearest neighbours and their distance in Å.
Atoms (fractional coordinates):
I (0.0000, 0.0000, 0.0000)  6 Be 2.45
Be (0.0000, 0.5000, 0.0000)  2 I 2.45
Be (0.0000, 0.0000, 0.5000)  2 I 2.45
Be (0.5000, 0.0000, 0.0000)  2 I 2.45
Ca (0.5000, 0.5000, 0.5000)  12 Be 3.47

Properties
- Symmetry: Pm-3m, No. 221
- Fermi-level density of states: 3.60 states/eV per cell
- Total magnetic moment: 0.000 μB per atom

=====

(ii)
CaBe3I | PBE-GGA | relaxed

a = 5.6720 Å, b = 5.6720 Å, c = 5.6720 Å
α = 90.00°, β = 90.00°, γ = 90.00°
Last column: nearest neighbours and their distance in Å.
Atoms (fractional coordinates):
I (0.5000, 0.5000, 0.5000)  12 Be 4.01
Be (0.0000, 0.5000, 0.0000)  2 Ca 2.84
Be (0.0000, 0.0000, 0.5000)  2 Ca 2.84
Be (0.5000, 0.0000, 0.0000)  2 Ca 2.84
Ca (0.0000, 0.0000, 0.0000)  6 Be 2.84

Properties
- Symmetry: Pm-3m, No. 221
- Fermi-level density of states: 3.94 states/eV per cell
- Total magnetic moment: 0.000 μB per atom

=====

The energy of each structure relative to the most stable one, in meV per atom, is as follows: (i) 0; (ii) 376.

=====

(i)
CaBe2I | PBE-GGA | relaxed

a = 4.9457 Å, b = 4.9457 Å, c = 4.9457 Å
α = 60.00°, β = 60.00°, γ = 60.00°
Last column: nearest neighbours and their distance in Å.
Atoms (fractional coordinates):
I (0.5000, 0.5000, 0.5000)  8 Be 3.03
Be (0.2500, 0.2500, 0.2500)  4 I 3.03, 4 Ca 3.03
Be (0.7500, 0.7500, 0.7500)  4 I 3.03, 4 Ca 3.03
Ca (0.0000, 0.0000, 0.0000)  8 Be 3.03

Properties
- Symmetry: Fm-3m, No. 225
- Fermi-level density of states: 3.18 states/eV per cell
- Total magnetic moment: 0.000 μB per atom

=====

(ii)
CaBe2I | PBE-GGA | relaxed

a = 7.8265 Å, b = 7.8265 Å, c = 6.2847 Å
α = 51.49°, β = 51.49°, γ = 90.00°
Last column: nearest neighbours and their distance in Å.
Atoms (fractional coordinates):
I (0.0000, 0.0000, 0.0000)  4 Be 2.73, 2 Ca 2.98
I (0.7500, 0.2500, 0.5000)  4 Be 2.73, 2 Ca 2.98
Be (0.6510, 0.1250, 0.2500)  2 I 2.73, 2 Be 3.01, 2 Ca 3.01
Be (0.0990, 0.6250, 0.2500)  2 I 2.73, 2 Be 3.01, 2 Ca 3.01
Be (0.3750, 0.3490, 0.7500)  2 I 2.73, 2 Be 3.01, 2 Ca 3.01
Be (0.8750, 0.9010, 0.7500)  2 I 2.73, 2 Be 3.01, 2 Ca 3.01
Ca (0.5000, 0.5000, 0.0000)  2 I 2.98, 4 Be 3.01
Ca (0.2500, 0.7500, 0.5000)  2 I 2.98, 4 Be 3.01

Properties
- Symmetry: I-42d, No. 122
- Fermi-level density of states: 3.74 states/eV per cell
- Total magnetic moment: 0.000 μB per atom

=====

The energy of each structure relative to the most stable one, in meV per atom, is as follows: (i) 297; (ii) 0.

=====

(i)
CaBeI3 | PBE-GGA | relaxed

a = 5.3566 Å, b = 5.3566 Å, c = 5.3566 Å
α = 90.00°, β = 90.00°, γ = 90.00°
Last column: nearest neighbours and their distance in Å.
Atoms (fractional coordinates):
I (0.0000, 0.5000, 0.0000)  2 Be 2.68
I (0.0000, 0.0000, 0.5000)  2 Be 2.68
I (0.5000, 0.0000, 0.0000)  2 Be 2.68
Be (0.0000, 0.0000, 0.0000)  6 I 2.68
Ca (0.5000, 0.5000, 0.5000)  12 I 3.79

Properties
- Symmetry: Pm-3m, No. 221
- Fermi-level density of states: 1.69 states/eV per cell
- Total magnetic moment: 0.000 μB per atom

=====

(ii)
CaBeI3 | PBE-GGA | relaxed

a = 6.1048 Å, b = 6.1048 Å, c = 6.1048 Å
α = 90.00°, β = 90.00°, γ = 90.00°
Last column: nearest neighbours and their distance in Å.
Atoms (fractional coordinates):
I (0.0000, 0.5000, 0.0000)  2 Ca 3.05
I (0.0000, 0.0000, 0.5000)  2 Ca 3.05
I (0.5000, 0.0000, 0.0000)  2 Ca 3.05
Be (0.5000, 0.5000, 0.5000)  12 I 4.32
Ca (0.0000, 0.0000, 0.0000)  6 I 3.05

Properties
- Symmetry: Pm-3m, No. 221
- Fermi-level density of states: 2.57 states/eV per cell
- Total magnetic moment: 0.199 μB per atom

=====

The energy of each structure relative to the most stable one, in meV per atom, is as follows: (i) 0; (ii) 313.

=====

(i)
Ca2BeI | PBE-GGA | relaxed

a = 5.4147 Å, b = 5.4147 Å, c = 5.4147 Å
α = 60.00°, β = 60.00°, γ = 60.00°
Last column: nearest neighbours and their distance in Å.
Atoms (fractional coordinates):
I (0.5000, 0.5000, 0.5000)  8 Ca 3.32
Be (0.0000, 0.0000, 0.0000)  8 Ca 3.32
Ca (0.2500, 0.2500, 0.2500)  4 I 3.32, 4 Be 3.32
Ca (0.7500, 0.7500, 0.7500)  4 I 3.32, 4 Be 3.32

Properties
- Symmetry: Fm-3m, No. 225
- Fermi-level density of states: 4.83 states/eV per cell
- Total magnetic moment: 0.000 μB per atom

=====

(ii)
Ca2BeI | PBE-GGA | relaxed

a = 8.0018 Å, b = 8.0018 Å, c = 6.9606 Å
α = 54.91°, β = 54.91°, γ = 90.00°
Last column: nearest neighbours and their distance in Å.
Atoms (fractional coordinates):
I (0.0000, 0.0000, 0.0000)  4 Ca 3.20
I (0.7500, 0.2500, 0.5000)  4 Ca 3.20
Be (0.5000, 0.5000, 0.0000)  4 Ca 2.83
Be (0.2500, 0.7500, 0.5000)  4 Ca 2.83
Ca (0.5902, 0.1250, 0.2500)  2 Be 2.83
Ca (0.1598, 0.6250, 0.2500)  2 Be 2.83
Ca (0.3750, 0.4098, 0.7500)  2 Be 2.83
Ca (0.8750, 0.8402, 0.7500)  2 Be 2.83

Properties
- Symmetry: I-42d, No. 122
- Fermi-level density of states: 3.63 states/eV per cell
- Total magnetic moment: 0.000 μB per atom

=====

The energy of each structure relative to the most stable one, in meV per atom, is as follows: (i) 81; (ii) 0.

=====

(i)
LiCaBeI | PBE-GGA | relaxed

a = 3.6988 Å, b = 3.6988 Å, c = 6.9775 Å
α = 90.00°, β = 90.00°, γ = 90.00°
Last column: nearest neighbours and their distance in Å.
Atoms (fractional coordinates):
Li (0.5000, 0.5000, 0.2750)  4 Be 2.92, 1 Ca 2.95, 4 I 3.14
Ca (0.5000, 0.5000, 0.6983)  1 Li 2.95, 4 Be 3.10
Be (0.0000, 0.0000, 0.4610)  4 Li 2.92, 1 I 3.03, 4 Ca 3.10
I (0.0000, 0.0000, 0.0272)  1 Be 3.03, 4 Li 3.14

Properties
- Symmetry: P4mm, No. 99
- Fermi-level density of states: 2.50 states/eV per cell
- Total magnetic moment: 0.000 μB per atom

=====

(ii)
LiCaBeI | PBE-GGA | relaxed

a = 3.9697 Å, b = 3.9753 Å, c = 7.9114 Å
α = 89.89°, β = 89.97°, γ = 60.09°
Last column: nearest neighbours and their distance in Å.
Atoms (fractional coordinates):
Li (0.3645, 0.4762, 0.7454)  3 Be 2.91-2.93, 3 I 3.01
Ca (0.3652, 0.4752, 0.2847)  3 Be 2.94, 3 I 3.26-3.27
Be (0.0327, 0.1392, 0.5172)  3 Li 2.91-2.93, 3 Ca 2.94
I (0.6982, 0.8103, 0.9912)  3 Li 3.01, 3 Ca 3.26-3.27

Properties
- Symmetry: Cm, No. 8
- Fermi-level density of states: 2.22 states/eV per cell
- Total magnetic moment: 0.001 μB per atom

=====

(iii)
LiCaBeI | PBE-GGA | relaxed

a = 7.4919 Å, b = 4.2107 Å, c = 7.2137 Å
α = 90.00°, β = 109.13°, γ = 90.00°
Last column: nearest neighbours and their distance in Å.
Atoms (fractional coordinates):
Li (0.2285, 0.0000, 0.2843)  3 Be 2.68
Li (0.2285, 0.5000, 0.7843)  3 Be 2.68
Ca (0.8328, 0.0000, 0.4802)  3 Be 2.91-2.92
Ca (0.8328, 0.5000, 0.9802)  3 Be 2.91-2.92
Be (0.0643, 0.0000, 0.8929)  3 Li 2.68, 3 Ca 2.91-2.92
Be (0.0643, 0.5000, 0.3929)  3 Li 2.68, 3 Ca 2.91-2.92
I (0.5224, 0.0000, 0.7101)  3 Li 3.14-3.22, 3 Ca 3.27
I (0.5224, 0.5000, 0.2101)  3 Li 3.14-3.22, 3 Ca 3.27

Properties
- Symmetry: Cm, No. 8
- Fermi-level density of states: 4.50 states/eV per cell
- Total magnetic moment: 0.000 μB per atom

=====

The energy of each structure relative to the most stable one, in meV per atom, is as follows: (i) 0; (ii) 43; (iii) 27.

=====

(i)
CaBeI2O | PBE-GGA | relaxed

a = 6.1023 Å, b = 6.1023 Å, c = 4.1616 Å
α = 90.00°, β = 90.00°, γ = 90.00°
Last column: nearest neighbours and their distance in Å.
Atoms (fractional coordinates):
I (0.0000, 0.5000, 0.0000)  2 Ca 3.05
I (0.5000, 0.0000, 0.0000)  2 Ca 3.05
Be (0.5000, 0.5000, 0.5000)  8 I 3.69
Ca (0.0000, 0.0000, 0.0000)  2 O 2.08
O (0.0000, 0.0000, 0.5000)  2 Ca 2.08

Properties
- Symmetry: P4/mmm, No. 123
- Fermi-level density of states: 7.17 states/eV per cell
- Total magnetic moment: 0.000 μB per atom

=====

(ii)
CaBeI2O | PBE-GGA | relaxed

a = 5.9856 Å, b = 5.9856 Å, c = 3.2333 Å
α = 90.00°, β = 90.00°, γ = 90.00°
Last column: nearest neighbours and their distance in Å.
Atoms (fractional coordinates):
I (0.0000, 0.5000, 0.0000)  2 Be 2.99, 2 I 3.23
I (0.5000, 0.0000, 0.0000)  2 Be 2.99, 2 I 3.23
Be (0.0000, 0.0000, 0.0000)  2 O 1.62
Ca (0.5000, 0.5000, 0.5000)  2 Ca 3.23, 8 I 3.40
O (0.0000, 0.0000, 0.5000)  2 Be 1.62

Properties
- Symmetry: P4/mmm, No. 123
- Fermi-level density of states: 1.24 states/eV per cell
- Total magnetic moment: 0.000 μB per atom

=====

The energy of each structure relative to the most stable one, in meV per atom, is as follows: (i) 919; (ii) 0.

=====

(i)
CaBeSb2I | PBE-GGA | relaxed

a = 4.7873 Å, b = 4.7873 Å, c = 6.4872 Å
α = 90.00°, β = 90.00°, γ = 90.00°
Last column: nearest neighbours and their distance in Å.
Atoms (fractional coordinates):
I (0.0000, 0.0000, 0.5000)  2 Be 3.24, 4 Ca 3.39
Sb (0.0000, 0.5000, 0.0000)  2 Be 2.39
Sb (0.5000, 0.0000, 0.0000)  2 Be 2.39
Ca (0.5000, 0.5000, 0.5000)  4 I 3.39
Be (0.0000, 0.0000, 0.0000)  4 Sb 2.39

Properties
- Symmetry: P4/mmm, No. 123
- Fermi-level density of states: 3.36 states/eV per cell
- Total magnetic moment: 0.000 μB per atom

=====

(ii)
CaBeSb2I | PBE-GGA | relaxed

a = 5.9610 Å, b = 5.8793 Å, c = 5.9610 Å
α = 90.00°, β = 90.00°, γ = 90.00°
Last column: nearest neighbours and their distance in Å.
Atoms (fractional coordinates):
I (0.0000, 0.5000, 0.0000)  2 Ca 2.94
Sb (0.0000, 0.0000, 0.5000)  2 Ca 2.98
Sb (0.5000, 0.0000, 0.0000)  2 Ca 2.98
Ca (0.0000, 0.0000, 0.0000)  2 I 2.94, 4 Sb 2.98
Be (0.5000, 0.5000, 0.5000)  8 Sb 4.19, 4 I 4.22

Properties
- Symmetry: P4/mmm, No. 123
- Fermi-level density of states: 5.37 states/eV per cell
- Total magnetic moment: 0.298 μB per atom

=====

The energy of each structure relative to the most stable one, in meV per atom, is as follows: (i) 0; (ii) 937.

=====

(i)
CaBeTeI2 | PBE-GGA | relaxed

a = 5.2539 Å, b = 5.2539 Å, c = 5.4370 Å
α = 90.00°, β = 90.00°, γ = 90.00°
Last column: nearest neighbours and their distance in Å.
Atoms (fractional coordinates):
I (0.0000, 0.5000, 0.0000)  2 Be 2.63
I (0.5000, 0.0000, 0.0000)  2 Be 2.63
Be (0.0000, 0.0000, 0.0000)  4 I 2.63, 2 Te 2.72
Ca (0.5000, 0.5000, 0.5000)  4 Te 3.72, 8 I 3.78
Te (0.0000, 0.0000, 0.5000)  2 Be 2.72

Properties
- Symmetry: P4/mmm, No. 123
- Fermi-level density of states: 2.02 states/eV per cell
- Total magnetic moment: 0.000 μB per atom

=====

(ii)
CaBeTeI2 | PBE-GGA | relaxed

a = 5.9661 Å, b = 5.9661 Å, c = 6.2044 Å
α = 90.00°, β = 90.00°, γ = 90.00°
Last column: nearest neighbours and their distance in Å.
Atoms (fractional coordinates):
I (0.0000, 0.5000, 0.0000)  2 Ca 2.98
I (0.5000, 0.0000, 0.0000)  2 Ca 2.98
Be (0.5000, 0.5000, 0.5000)  4 Te 4.22, 8 I 4.30
Ca (0.0000, 0.0000, 0.0000)  4 I 2.98, 2 Te 3.10
Te (0.0000, 0.0000, 0.5000)  2 Ca 3.10

Properties
- Symmetry: P4/mmm, No. 123
- Fermi-level density of states: 7.99 states/eV per cell
- Total magnetic moment: 0.000 μB per atom

=====

The energy of each structure relative to the most stable one, in meV per atom, is as follows: (i) 0; (ii) 617.

=====

(i)
CaBeIn | PBE-GGA | relaxed

a = 4.9368 Å, b = 4.9368 Å, c = 4.9368 Å
α = 60.00°, β = 60.00°, γ = 60.00°
Last column: nearest neighbours and their distance in Å.
Atoms (fractional coordinates):
Be (0.5000, 0.5000, 0.5000)  4 Ca 3.02
Ca (0.7500, 0.7500, 0.7500)  4 In 3.02, 4 Be 3.02
In (0.0000, 0.0000, 0.0000)  4 Ca 3.02

Properties
- Symmetry: F-43m, No. 216
- Fermi-level density of states: 4.17 states/eV per cell
- Total magnetic moment: 0.000 μB per atom

=====

(ii)
CaBeIn | PBE-GGA | relaxed

a = 4.6309 Å, b = 4.6309 Å, c = 4.6309 Å
α = 60.00°, β = 60.00°, γ = 60.00°
Last column: nearest neighbours and their distance in Å.
Atoms (fractional coordinates):
Be (0.7500, 0.7500, 0.7500)  4 In 2.84, 4 Ca 2.84
Ca (0.0000, 0.0000, 0.0000)  4 Be 2.84
In (0.5000, 0.5000, 0.5000)  4 Be 2.84

Properties
- Symmetry: F-43m, No. 216
- Fermi-level density of states: 3.76 states/eV per cell
- Total magnetic moment: 0.000 μB per atom

=====

The energy of each structure relative to the most stable one, in meV per atom, is as follows: (i) 659; (ii) 0.

=====

(i)
CaBeIn | PBE-GGA | relaxed

a = 6.2324 Å, b = 6.2315 Å, c = 3.3727 Å
α = 74.32°, β = 74.29°, γ = 31.40°
Last column: nearest neighbours and their distance in Å.
Atoms (fractional coordinates):
Be (0.9826, 0.9826, 0.0174)  4 In 2.75
Ca (0.6539, 0.6539, 0.3461)  4 Be 3.09-3.10, 5 In 3.34-3.39, 4 Ca 3.37
In (0.3634, 0.3634, 0.6366)  4 Be 2.75

Properties
- Symmetry: I4mm, No. 107
- Fermi-level density of states: 1.44 states/eV per cell
- Total magnetic moment: 0.000 μB per atom

=====

(ii)
CaBeIn | PBE-GGA | relaxed

a = 4.5290 Å, b = 4.5290 Å, c = 3.7577 Å
α = 90.00°, β = 90.00°, γ = 120.00°
Last column: nearest neighbours and their distance in Å.
Atoms (fractional coordinates):
Be (0.0000, 0.0000, 0.8325)  3 In 2.61
Ca (0.3333, 0.6667, 0.3337)  6 Be 3.22, 6 In 3.22
In (0.6667, 0.3333, 0.8337)  3 Be 2.61

Properties
- Symmetry: P-6m2, No. 187
- Fermi-level density of states: 1.53 states/eV per cell
- Total magnetic moment: 0.000 μB per atom

=====

The energy of each structure relative to the most stable one, in meV per atom, is as follows: (i) 184; (ii) 0.